No. 1
Density functional theory data (PBE-GGA) for a relaxed LaVTe2 crystal.

Cell lengths 4.6554, 4.6554, 26.8237 Å; angles 90.00, 90.00, 120.00 degrees
Closest atoms and distances in Å follow each position.
Space group R-3m (No. 166, hexagonal axes)
Symmetry-distinct sites (fractional):
La 0.0000 0.0000 0.0000 [3 per cell]  6 Te 3.22
V 0.0000 0.0000 0.5000 [3 per cell]  2 Te 2.70
Te 0.0000 0.0000 0.3995 [6 per cell]  1 V 2.70

Output
* energy above the lowest structure with this stoichiometry: 143 meV/atom
* formation energy (no corrections): -0.333 eV/atom

***

No. 2
Density functional theory data (PBE-GGA) for a relaxed LaVTe3 crystal.

Cell lengths 5.3212, 5.3212, 5.3212 Å; angles 90.00, 90.00, 90.00 degrees
Closest atoms and distances in Å follow each position.
Space group Pm-3m (No. 221)
Symmetry-distinct sites (fractional):
La 0.0000 0.0000 0.0000 [1 per cell]  12 Te 3.76
V 0.5000 0.5000 0.5000 [1 per cell]  6 Te 2.66
Te 0.0000 0.5000 0.5000 [3 per cell]  2 V 2.66

Output
* energy above the lowest structure with this stoichiometry: 0 meV/atom
* formation energy (no corrections): -0.545 eV/atom

***

No. 3
Density functional theory data (PBE-GGA) for a relaxed La2V2Te crystal.

Cell lengths 7.9162, 7.9162, 4.0666 Å; angles 90.00, 90.00, 90.00 degrees
Closest atoms and distances in Å follow each position.
Space group P4/mbm (No. 127)
Symmetry-distinct sites (fractional):
La 0.2010 0.2990 0.0000 [4 per cell]  6 V 3.13-3.18, 4 Te 3.50
V 0.0860 0.5860 0.5000 [4 per cell]  1 V 1.93
Te 0.0000 0.0000 0.5000 [2 per cell]  4 V 3.35, 8 La 3.50

Output
* energy above the lowest structure with this stoichiometry: 0 meV/atom
* formation energy (no corrections): -0.089 eV/atom

***

No. 4
Density functional theory data (PBE-GGA) for a relaxed La2V4Te crystal.

Cell lengths 4.8925, 4.8925, 15.7705 Å; angles 90.00, 90.00, 90.00 degrees
Closest atoms and distances in Å follow each position.
Space group I4/mmm (No. 139)
Symmetry-distinct sites (fractional):
La 0.0000 0.0000 0.1301 [4 per cell]  9 V 3.19-3.51
V 0.0000 0.0000 0.3323 [4 per cell]  1 Te 2.64
V 0.0000 0.5000 0.0000 [4 per cell]  2 Te 2.45
Te 0.0000 0.0000 0.5000 [2 per cell]  6 V 2.45-2.64

Output
* formation energy (no corrections): 0.979 eV/atom

***

No. 5
Density functional theory data (PBE-GGA) for a relaxed LaV2Te2 crystal.

Cell lengths 3.9262, 3.9262, 14.6664 Å; angles 90.00, 90.00, 90.00 degrees
Closest atoms and distances in Å follow each position.
Space group I4/mmm (No. 139)
Symmetry-distinct sites (fractional):
La 0.0000 0.0000 0.0000 [2 per cell]  8 Te 3.32
V 0.0000 0.5000 0.2500 [4 per cell]  4 Te 2.70, 4 V 2.78
Te 0.0000 0.0000 0.3763 [4 per cell]  4 V 2.70

Output
* formation energy (no corrections): -0.503 eV/atom

***

No. 6
Density functional theory data (PBE-GGA) for a relaxed LaVTe3 crystal.

Cell lengths 6.1053, 6.1053, 6.1053 Å; angles 90.00, 90.00, 90.00 degrees
Closest atoms and distances in Å follow each position.
Space group Pm-3m (No. 221)
Symmetry-distinct sites (fractional):
La 0.0000 0.0000 0.0000 [1 per cell]  6 Te 3.05
V 0.5000 0.5000 0.5000 [1 per cell]  12 Te 4.32
Te 0.0000 0.0000 0.5000 [3 per cell]  2 La 3.05

Output
* energy above the lowest structure with this stoichiometry: 910 meV/atom
* formation energy (no corrections): 0.365 eV/atom

***

No. 7
Density functional theory data (PBE-GGA) for a relaxed LaYVTe2 crystal.

Cell lengths 5.7104, 5.7104, 5.1307 Å; angles 90.00, 90.00, 90.00 degrees
Closest atoms and distances in Å follow each position.
Space group P4/mmm (No. 123)
Symmetry-distinct sites (fractional):
La 0.0000 0.0000 0.0000 [1 per cell]  8 Te 3.84, 4 V 4.04
Y 0.5000 0.5000 0.5000 [1 per cell]  2 V 2.57, 4 Te 2.86
V 0.5000 0.5000 0.0000 [1 per cell]  2 Y 2.57
Te 0.0000 0.5000 0.5000 [2 per cell]  2 Y 2.86

Output
* formation energy (no corrections): 0.000 eV/atom

***

No. 8
Density functional theory data (PBE-GGA) for a relaxed LaVZnTe2 crystal.

Cell lengths 5.4087, 5.4087, 4.7218 Å; angles 90.00, 90.00, 90.00 degrees
Closest atoms and distances in Å follow each position.
Space group P4/mmm (No. 123)
Symmetry-distinct sites (fractional):
La 0.0000 0.0000 0.0000 [1 per cell]  8 Te 3.59, 4 V 3.82
V 0.5000 0.5000 0.0000 [1 per cell]  2 Zn 2.36
Zn 0.5000 0.5000 0.5000 [1 per cell]  2 V 2.36
Te 0.0000 0.5000 0.5000 [2 per cell]  2 Zn 2.70

Output
* formation energy (no corrections): -0.013 eV/atom

***

One value per record, in order, for N(E_F): 24.70 6.55 6.26 22.24 7.79 11.73 5.29 2.45 states/eV per cell.